No. 1
The following is a GGA-PBE calculation of MgGeS2 after structural relaxation, from Alexandria.

E_form (uncorrected), eV per atom: -0.6103
Density of states at the Fermi level, states/eV per cell: 0.0
M_tot, μB per formula unit: 0.0
Symmetry: I-42d

Cell: 5.8991 5.8991 7.2363 Å, 65.95 65.95 90.00°
Closest atoms and distances in Å follow each position.
Fractional positions:
Mg: 0.2500 0.7500 0.5000  4 S 2.48
Mg: 0.5000 0.5000 0.0000  4 S 2.48
S: 0.3750 0.3989 0.7500  2 Mg 2.48, 2 Ge 2.64
S: 0.8750 0.8511 0.7500  2 Mg 2.48, 2 Ge 2.64
S: 0.1489 0.6250 0.2500  2 Mg 2.48, 2 Ge 2.64
S: 0.6011 0.1250 0.2500  2 Mg 2.48, 2 Ge 2.64
Ge: 0.7500 0.2500 0.5000  4 S 2.64
Ge: 0.0000 0.0000 0.0000  4 S 2.64

No. 2
The following is a GGA-PBE calculation of Mg2GeS after structural relaxation, from Alexandria.

E_form (uncorrected), eV per atom: -0.1343
Density of states at the Fermi level, states/eV per cell: 3.3
M_tot, μB per formula unit: 0.0
Symmetry: Fm-3m

Cell: 4.7389 4.7389 4.7389 Å, 60.00 60.00 60.00°
Closest atoms and distances in Å follow each position.
Fractional positions:
Mg: 0.7500 0.7500 0.7500  4 Ge 2.90, 4 S 2.90
Mg: 0.2500 0.2500 0.2500  4 Ge 2.90, 4 S 2.90
Ge: 0.5000 0.5000 0.5000  8 Mg 2.90
S: 0.0000 0.0000 0.0000  8 Mg 2.90

No. 3
The following is a GGA-PBE calculation of MgGe3S after structural relaxation, from Alexandria.

E_form (uncorrected), eV per atom: 0.4405
Density of states at the Fermi level, states/eV per cell: 1.2
M_tot, μB per formula unit: 0.0
Symmetry: Pm-3m

Cell: 4.9517 4.9517 4.9517 Å, 90.00 90.00 90.00°
Closest atoms and distances in Å follow each position.
Fractional positions:
Mg: 0.5000 0.5000 0.5000  12 Ge 3.50
S: 0.0000 0.0000 0.0000  6 Ge 2.48
Ge: 0.0000 0.5000 0.0000  2 S 2.48
Ge: 0.5000 0.0000 0.0000  2 S 2.48
Ge: 0.0000 0.0000 0.5000  2 S 2.48

No. 4
The following is a GGA-PBE calculation of Mg3GeS after structural relaxation, from Alexandria.

E_form (uncorrected), eV per atom: -0.1689
Density of states at the Fermi level, states/eV per cell: 0.0
M_tot, μB per formula unit: 0.0
Symmetry: Pm-3m

Cell: 4.9481 4.9481 4.9481 Å, 90.00 90.00 90.00°
Closest atoms and distances in Å follow each position.
Fractional positions:
Mg: 0.0000 0.0000 0.5000  2 Ge 2.47
Mg: 0.0000 0.5000 0.0000  2 Ge 2.47
Mg: 0.5000 0.0000 0.0000  2 Ge 2.47
Ge: 0.0000 0.0000 0.0000  6 Mg 2.47
S: 0.5000 0.5000 0.5000  12 Mg 3.50

Q: Which value of density of states at the Fermi level does entry 4 give?
A: 0.0 states/eV per cell